DFT (PBEsol) results for crystalline IrOsAu2 at its relaxed geometry.

Output
- energy above the most stable polymorph in this dataset (meV/atom) = 0
- E (eV per cell) = -28.5
- theoretical density (g/cm³) = 20.75

Cell lengths 2.7854, 3.8428, 5.8034 Å; angles 90.00, 90.00, 90.00 degrees
Closest atoms and distances in Å follow each position.
Fractional coordinates of all 4 atoms:
Au 0.0000 0.5000 0.7493  1 Os 2.73, 6 Au 2.79, 4 Ir 2.88
Au 0.5000 0.0000 0.0020  1 Ir 2.71, 6 Au 2.79, 4 Os 2.87
Os 0.0000 0.5000 0.2796  4 Ir 2.62, 5 Au 2.73-2.87, 2 Os 2.79
Ir 0.5000 0.0000 0.4690  4 Os 2.62, 5 Au 2.71-2.88, 2 Ir 2.79